# 1
Computed, not measured: PaAgPb2Se5 after structural relaxation at the PBE-GGA level of DFT.

Computed properties:
raw total energy = -44.22 eV per formula unit
uncorrected formation energy = -0.781 eV/atom
crystal system = orthorhombic

Lattice parameters (Å, degrees): 4.223 9.383 13.718 90.00 90.00 103.01
Atoms (fractional coordinates):
Pa (0.781, 0.563, 0.529)
Pa (0.219, 0.437, 0.029)
Se (0.070, 0.140, 0.069)
Se (0.264, 0.529, 0.666)
Se (0.930, 0.860, 0.569)
Se (0.491, 0.981, 0.282)
Se (0.718, 0.435, 0.896)
Se (0.282, 0.565, 0.396)
Se (0.736, 0.471, 0.166)
Se (0.509, 0.019, 0.782)
Se (0.370, 0.739, 0.000)
Se (0.630, 0.261, 0.500)
Pb (0.096, 0.193, 0.644)
Pb (0.904, 0.807, 0.144)
Pb (0.902, 0.803, 0.789)
Pb (0.098, 0.197, 0.289)
Ag (0.577, 0.154, 0.950)
Ag (0.423, 0.846, 0.450)

# 2
Computed, not measured: SmPaAgPb after structural relaxation at the PBE-GGA level of DFT.

Computed properties:
raw total energy = -20.65 eV per formula unit
formation energy = 31 meV per atom
crystal system = cubic
density of states at the Fermi level = 9.1 states/eV per cell

Lattice parameters (Å, degrees): 5.363 5.363 5.363 60.00 60.00 60.00
Last column: magnetic moment on the atom in μB.
Atoms (fractional coordinates):
Sm (0.500, 0.500, 0.500)  0.40
Ag (0.250, 0.250, 0.250)  0.05
Pa (0.000, 0.000, 0.000)  1.57
Pb (0.750, 0.750, 0.750)  -0.02

# 3
Computed, not measured: TbPaAgPb after structural relaxation at the PBE-GGA level of DFT.

Computed properties:
raw total energy = -20.56 eV per formula unit
formation energy = 31 meV per atom
crystal system = cubic
density of states at the Fermi level = 9.4 states/eV per cell

Lattice parameters (Å, degrees): 5.324 5.324 5.324 60.00 60.00 60.00
Last column: magnetic moment on the atom in μB.
Atoms (fractional coordinates):
Pa (0.000, 0.000, 0.000)  1.52
Ag (0.250, 0.250, 0.250)  0.04
Tb (0.500, 0.500, 0.500)  0.49
Pb (0.750, 0.750, 0.750)  -0.02

# 4
Computed, not measured: ThPaAgPb after structural relaxation at the PBE-GGA level of DFT.

Computed properties:
raw total energy = -22.87 eV per formula unit
formation energy = 150 meV per atom
crystal system = cubic
density of states at the Fermi level = 8.9 states/eV per cell

Lattice parameters (Å, degrees): 5.371 5.371 5.371 60.00 60.00 60.00
Last column: magnetic moment on the atom in μB.
Atoms (fractional coordinates):
Th (0.500, 0.500, 0.500)  0.21
Pb (0.750, 0.750, 0.750)  0.00
Ag (0.250, 0.250, 0.250)  0.01
Pa (0.000, 0.000, 0.000)  1.08

# 5
Computed, not measured: YPaAgPb after structural relaxation at the PBE-GGA level of DFT.

Computed properties:
raw total energy = -22.44 eV per formula unit
formation energy = 20 meV per atom
crystal system = cubic
density of states at the Fermi level = 9.8 states/eV per cell

Lattice parameters (Å, degrees): 5.319 5.319 5.319 60.00 60.00 60.00
Last column: magnetic moment on the atom in μB.
Atoms (fractional coordinates):
Ag (0.500, 0.500, 0.500)  0.04
Y (0.750, 0.750, 0.750)  0.37
Pa (0.250, 0.250, 0.250)  1.49
Pb (0.000, 0.000, 0.000)  -0.02

# 6
Computed, not measured: PaAgPd14 after structural relaxation at the PBE-GGA level of DFT.

Computed properties:
raw total energy = -89.33 eV per formula unit
formation energy = -268 meV per atom
crystal system = tetragonal
density of states at the Fermi level = 24.1 states/eV per cell

Lattice parameters (Å, degrees): 5.751 5.751 7.815 90.00 90.00 90.00
Atoms (fractional coordinates):
Pd (0.627, 0.627, 0.248)
Pd (0.875, 0.375, 0.500)
Pd (0.375, 0.875, 0.000)
Pd (0.875, 0.875, 0.000)
Pd (0.627, 0.123, 0.752)
Pd (0.375, 0.375, 0.000)
Pd (0.123, 0.627, 0.248)
Pd (0.375, 0.875, 0.500)
Pd (0.875, 0.375, 0.000)
Pd (0.123, 0.123, 0.248)
Pd (0.627, 0.627, 0.752)
Pd (0.627, 0.123, 0.248)
Pd (0.123, 0.627, 0.752)
Pd (0.123, 0.123, 0.752)
Pa (0.875, 0.875, 0.500)
Ag (0.375, 0.375, 0.500)

# 7
Computed, not measured: PaAg2Pd6 after structural relaxation at the PBE-GGA level of DFT.

Computed properties:
raw total energy = -48.95 eV per formula unit
formation energy = -288 meV per atom
crystal system = monoclinic
density of states at the Fermi level = 4.3 states/eV per cell

Lattice parameters (Å, degrees): 4.204 8.455 6.003 129.48 90.00 90.00
Atoms (fractional coordinates):
Ag (0.000, 0.386, 0.618)
Ag (0.000, 0.586, 0.199)
Pa (0.500, 0.062, 0.146)
Pd (0.500, 0.458, 0.371)
Pd (0.500, 0.893, 0.586)
Pd (0.000, 0.182, 0.961)
Pd (0.000, 0.976, 0.367)
Pd (0.500, 0.678, 0.979)
Pd (0.000, 0.779, 0.774)

# 8
Computed, not measured: PaAgPd4 after structural relaxation at the PBE-GGA level of DFT.

Computed properties:
raw total energy = -36.01 eV per formula unit
formation energy = -481 meV per atom
crystal system = cubic
density of states at the Fermi level = 3.2 states/eV per cell

Lattice parameters (Å, degrees): 5.328 5.328 5.328 60.00 60.00 60.00
Atoms (fractional coordinates):
Pd (0.625, 0.625, 0.625)
Pd (0.625, 0.126, 0.625)
Pd (0.126, 0.625, 0.625)
Pd (0.625, 0.625, 0.126)
Pa (0.000, 0.000, 0.000)
Ag (0.250, 0.250, 0.250)

# 9
Computed, not measured: PaAg5Pd6 after structural relaxation at the PBE-GGA level of DFT.

Computed properties:
raw total energy = -58.33 eV per formula unit
formation energy = -285 meV per atom
crystal system = orthorhombic
density of states at the Fermi level = 4.6 states/eV per cell

Lattice parameters (Å, degrees): 4.293 7.665 6.672 90.00 71.23 90.00
Atoms (fractional coordinates):
Pa (0.000, 0.000, 0.000)
Pd (0.839, 0.754, 0.322)
Pd (0.500, 0.757, 0.000)
Pd (0.161, 0.754, 0.678)
Pd (0.500, 0.243, 0.000)
Pd (0.161, 0.246, 0.678)
Pd (0.839, 0.246, 0.322)
Ag (0.675, 0.000, 0.651)
Ag (0.334, 0.500, 0.333)
Ag (0.325, 0.000, 0.349)
Ag (0.666, 0.500, 0.667)
Ag (0.000, 0.500, 0.000)

# 10
Computed, not measured: PaAg3Pd6 after structural relaxation at the PBE-GGA level of DFT.

Computed properties:
raw total energy = -52.40 eV per formula unit
formation energy = -319 meV per atom
crystal system = monoclinic
density of states at the Fermi level = 7.4 states/eV per cell

Lattice parameters (Å, degrees): 4.228 8.882 9.277 94.00 90.00 90.00
Atoms (fractional coordinates):
Ag (0.750, 0.654, 0.196)
Ag (0.250, 0.747, 0.002)
Ag (0.750, 0.253, 0.998)
Ag (0.250, 0.346, 0.804)
Ag (0.750, 0.449, 0.602)
Ag (0.250, 0.551, 0.398)
Pd (0.750, 0.547, 0.902)
Pd (0.250, 0.453, 0.098)
Pd (0.250, 0.161, 0.197)
Pd (0.750, 0.756, 0.496)
Pd (0.750, 0.141, 0.693)
Pd (0.750, 0.839, 0.803)
Pd (0.750, 0.359, 0.297)
Pd (0.250, 0.641, 0.703)
Pd (0.250, 0.244, 0.504)
Pd (0.250, 0.047, 0.903)
Pd (0.750, 0.953, 0.097)
Pd (0.250, 0.859, 0.307)
Pa (0.750, 0.074, 0.364)
Pa (0.250, 0.926, 0.636)

# 11
Computed, not measured: PrPaAgPd after structural relaxation at the PBE-GGA level of DFT.

Computed properties:
raw total energy = -22.76 eV per formula unit
formation energy = -111 meV per atom
crystal system = cubic
density of states at the Fermi level = 7.4 states/eV per cell

Lattice parameters (Å, degrees): 5.144 5.144 5.144 60.00 60.00 60.00
Last column: magnetic moment on the atom in μB.
Atoms (fractional coordinates):
Ag (0.750, 0.750, 0.750)  0.00
Pa (0.000, 0.000, 0.000)  0.92
Pd (0.250, 0.250, 0.250)  -0.02
Pr (0.500, 0.500, 0.500)  0.13

# 12
Computed, not measured: PaAgPdPt after structural relaxation at the PBE-GGA level of DFT.

Computed properties:
raw total energy = -25.76 eV per formula unit
formation energy = -546 meV per atom
crystal system = cubic
density of states at the Fermi level = 3.9 states/eV per cell

Lattice parameters (Å, degrees): 4.788 4.788 4.788 60.00 60.00 60.00
Atoms (fractional coordinates):
Ag (0.000, 0.000, 0.000)
Pa (0.500, 0.500, 0.500)
Pt (0.250, 0.250, 0.250)
Pd (0.750, 0.750, 0.750)

# 13
Computed, not measured: PaAgPdRh after structural relaxation at the PBE-GGA level of DFT.

Computed properties:
raw total energy = -26.52 eV per formula unit
formation energy = -407 meV per atom
crystal system = cubic
density of states at the Fermi level = 4.5 states/eV per cell

Lattice parameters (Å, degrees): 4.735 4.735 4.735 60.00 60.00 60.00
Atoms (fractional coordinates):
Rh (0.750, 0.750, 0.750)
Pd (0.250, 0.250, 0.250)
Pa (0.500, 0.500, 0.500)
Ag (0.000, 0.000, 0.000)

# 14
Computed, not measured: PaAg2PdS4 after structural relaxation at the PBE-GGA level of DFT.

Computed properties:
raw total energy = -41.64 eV per formula unit
uncorrected formation energy = -0.592 eV/atom
crystal system = orthorhombic
density of states at the Fermi level = 9.1 states/eV per cell

Lattice parameters (Å, degrees): 3.837 6.811 12.579 90.00 90.00 106.36
Atoms (fractional coordinates):
Pa (0.888, 0.776, 0.250)
Pa (0.112, 0.224, 0.750)
Ag (0.621, 0.242, 0.434)
Ag (0.621, 0.242, 0.066)
Ag (0.379, 0.758, 0.566)
Ag (0.379, 0.758, 0.934)
Pd (0.838, 0.677, 0.750)
Pd (0.162, 0.323, 0.250)
S (0.301, 0.602, 0.378)
S (0.000, 0.000, 0.500)
S (0.301, 0.602, 0.122)
S (0.533, 0.067, 0.250)
S (0.467, 0.933, 0.750)
S (0.000, 0.000, 0.000)
S (0.699, 0.398, 0.622)
S (0.699, 0.398, 0.878)

# 15
Computed, not measured: PaAgPdS4 after structural relaxation at the PBE-GGA level of DFT.

Computed properties:
raw total energy = -39.25 eV per formula unit
uncorrected formation energy = -0.743 eV/atom
crystal system = monoclinic
density of states at the Fermi level = 5.5 states/eV per cell

Lattice parameters (Å, degrees): 7.021 5.321 8.932 90.00 107.31 90.00
Atoms (fractional coordinates):
Pa (0.740, 0.750, 0.447)
Pa (0.260, 0.250, 0.553)
S (0.488, 0.750, 0.150)
S (0.021, 0.980, 0.698)
S (0.512, 0.250, 0.850)
S (0.414, 0.750, 0.567)
S (0.586, 0.250, 0.433)
S (0.979, 0.020, 0.302)
S (0.021, 0.520, 0.698)
S (0.979, 0.480, 0.302)
Ag (0.470, 0.750, 0.861)
Ag (0.530, 0.250, 0.139)
Pd (0.751, 0.250, 0.711)
Pd (0.249, 0.750, 0.289)

# 16
Computed, not measured: ScPaAgPd after structural relaxation at the PBE-GGA level of DFT.

Computed properties:
raw total energy = -24.59 eV per formula unit
formation energy = -180 meV per atom
crystal system = cubic
density of states at the Fermi level = 7.4 states/eV per cell

Lattice parameters (Å, degrees): 4.946 4.946 4.946 60.00 60.00 60.00
Last column: magnetic moment on the atom in μB.
Atoms (fractional coordinates):
Ag (0.250, 0.250, 0.250)  0.01
Sc (0.500, 0.500, 0.500)  0.16
Pa (0.000, 0.000, 0.000)  0.74
Pd (0.750, 0.750, 0.750)  -0.01

# 17
Computed, not measured: PaAg2PdSe4 after structural relaxation at the PBE-GGA level of DFT.

Computed properties:
raw total energy = -38.52 eV per formula unit
uncorrected formation energy = -0.524 eV/atom
crystal system = orthorhombic
density of states at the Fermi level = 7.8 states/eV per cell

Lattice parameters (Å, degrees): 3.908 6.947 13.559 90.00 90.00 106.34
Atoms (fractional coordinates):
Pd (0.159, 0.317, 0.250)
Pd (0.841, 0.683, 0.750)
Se (0.524, 0.048, 0.250)
Se (0.000, 0.000, 0.000)
Se (0.293, 0.586, 0.115)
Se (0.293, 0.586, 0.385)
Se (0.707, 0.414, 0.885)
Se (0.707, 0.414, 0.615)
Se (0.476, 0.952, 0.750)
Se (0.000, 0.000, 0.500)
Pa (0.871, 0.743, 0.250)
Pa (0.129, 0.257, 0.750)
Ag (0.624, 0.248, 0.075)
Ag (0.376, 0.752, 0.575)
Ag (0.624, 0.248, 0.425)
Ag (0.376, 0.752, 0.925)

# 18
Computed, not measured: SmPaAgPd after structural relaxation at the PBE-GGA level of DFT.

Computed properties:
raw total energy = -22.87 eV per formula unit
formation energy = -154 meV per atom
crystal system = cubic
density of states at the Fermi level = 7.1 states/eV per cell

Lattice parameters (Å, degrees): 5.099 5.099 5.099 60.00 60.00 60.00
Last column: magnetic moment on the atom in μB.
Atoms (fractional coordinates):
Pd (0.750, 0.750, 0.750)  -0.03
Ag (0.250, 0.250, 0.250)  0.00
Pa (0.000, 0.000, 0.000)  0.80
Sm (0.500, 0.500, 0.500)  0.10

# 19
Computed, not measured: PaAgSnPd after structural relaxation at the PBE-GGA level of DFT.

Computed properties:
raw total energy = -22.80 eV per formula unit
formation energy = -314 meV per atom
crystal system = cubic
density of states at the Fermi level = 2.8 states/eV per cell

Lattice parameters (Å, degrees): 4.919 4.919 4.919 60.00 60.00 60.00
Atoms (fractional coordinates):
Pd (0.500, 0.500, 0.500)
Pa (0.750, 0.750, 0.750)
Sn (0.250, 0.250, 0.250)
Ag (0.000, 0.000, 0.000)

# 20
Computed, not measured: ThPaAgPd after structural relaxation at the PBE-GGA level of DFT.

Computed properties:
raw total energy = -25.37 eV per formula unit
formation energy = -102 meV per atom
crystal system = cubic
density of states at the Fermi level = 6.2 states/eV per cell

Lattice parameters (Å, degrees): 5.121 5.121 5.121 60.00 60.00 60.00
Last column: magnetic moment on the atom in μB.
Atoms (fractional coordinates):
Ag (0.250, 0.250, 0.250)  0.00
Th (0.500, 0.500, 0.500)  0.12
Pd (0.750, 0.750, 0.750)  -0.01
Pa (0.000, 0.000, 0.000)  0.65